Density functional theory data (SCAN) for a PBEsol-optimized structure of Ba2MnMo.

Values from the calculation:
- electronic total energy (eV per cell) = -128.38

abc: 3.8010 3.8010 8.2294
angles: 90.00 90.00 90.00
Space group P4/mmm (No. 123)
Asymmetric unit:
Ba  0.0000  0.0000  0.2456 (multiplicity 2)
Mn  0.5000  0.5000  0.5000 (multiplicity 1)
Mo  0.5000  0.5000  0.0000 (multiplicity 1)


Density functional theory data (SCAN) for a PBEsol-optimized structure of YIr2Au.

Values from the calculation:
- electronic total energy (eV per cell) = -480.89

abc: 4.0333 4.0333 8.3169
angles: 90.00 90.00 90.00
Space group I-4m2 (No. 119)
Asymmetric unit:
Y  0.0000  0.0000  0.0000 (multiplicity 2)
Ir  0.0000  0.0000  0.5000 (multiplicity 2)
Ir  0.0000  0.5000  0.7500 (multiplicity 2)
Au  0.0000  0.5000  0.2500 (multiplicity 2)


Density functional theory data (SCAN) for a PBEsol-optimized structure of ScSb2IF.

Values from the calculation:
- raw formation energy (meV/atom) = -148

abc: 5.3921 5.3921 5.3853
angles: 90.00 90.00 90.00
Space group P4/mmm (No. 123)
Asymmetric unit:
Sc  0.0000  0.0000  0.0000 (multiplicity 1)
Sb  0.0000  0.5000  0.0000 (multiplicity 2)
I  0.0000  0.0000  0.5000 (multiplicity 1)
F  0.5000  0.5000  0.5000 (multiplicity 1)